Density functional theory data (GGA+U) for NbCr2ClF after structural relaxation.

Results
Total energy, eV for the cell shown: -27.75
SG: P4/mmm, No. 123

a = 4.713 Å, b = 4.713 Å, c = 4.442 Å
α = 90.00°, β = 90.00°, γ = 90.00°
Sites, in units of the cell vectors:
Nb1 0.000 0.000 0.000
Cr1 0.000 0.500 0.500
Cr2 0.500 0.000 0.500
Cl1 0.500 0.500 0.000
F1 0.000 0.000 0.500